1.
First-principles (PBE) data for a relaxed structure of Pd9Pb4Au2, as listed in Alexandria. Values from VASP.

Output
DOS(E_F), states/eV/cell: 8.27
Formation enthalpy at 0 K, kJ/mol of atoms: -15

```
&SYSTEM
  ibrav = 0, nat = 15, ntyp = 3
/
ATOMIC_SPECIES
Pd 106.42 Pd.upf
Pb 207.20 Pb.upf
Au 196.97 Au.upf
CELL_PARAMETERS angstrom
4.626 0.000 0.000
-2.313 4.006 0.000
0.000 0.000 14.920
ATOMIC_POSITIONS crystal
Pd 0.000 0.000 0.000
Pd 0.000 0.000 0.192
Pd 0.000 0.000 0.404
Pd 0.000 0.000 0.596
Pd 0.000 0.000 0.808
Pd 0.333 0.667 0.078
Pd 0.333 0.667 0.465
Pd 0.667 0.333 0.535
Pd 0.667 0.333 0.922
Pb 0.333 0.667 0.648
Pb 0.333 0.667 0.885
Pb 0.667 0.333 0.115
Pb 0.667 0.333 0.352
Au 0.333 0.667 0.269
Au 0.667 0.333 0.731
```

2.
First-principles (PBE) data for a relaxed structure of Pd2PbAu2, as listed in Alexandria. Values from VASP.

Output
DOS(E_F), states/eV/cell: 1.10
Formation enthalpy at 0 K, kJ/mol of atoms: -13
Energy relative to the lowest polymorph listed for this composition, eV/atom: 0.000

```
&SYSTEM
  ibrav = 0, nat = 5, ntyp = 3
/
ATOMIC_SPECIES
Pd 106.42 Pd.upf
Pb 207.20 Pb.upf
Au 196.97 Au.upf
CELL_PARAMETERS angstrom
4.276 0.000 0.000
2.124 4.289 0.000
2.123 0.534 5.025
ATOMIC_POSITIONS crystal
Pd 0.098 0.101 0.201
Pd 0.902 0.899 0.799
Pb 0.500 0.500 0.000
Au 0.307 0.292 0.595
Au 0.693 0.708 0.405
```

3.
First-principles (PBE) data for a relaxed structure of Pd2PbAu5, as listed in Alexandria. Values from VASP.

Output
DOS(E_F), states/eV/cell: 6.19
Formation enthalpy at 0 K, kJ/mol of atoms: -7

```
&SYSTEM
  ibrav = 0, nat = 16, ntyp = 3
/
ATOMIC_SPECIES
Pd 106.42 Pd.upf
Pb 207.20 Pb.upf
Au 196.97 Au.upf
CELL_PARAMETERS angstrom
5.994 0.000 0.000
0.000 12.021 0.000
0.000 0.000 4.066
ATOMIC_POSITIONS crystal
Pd 0.230 0.122 0.000
Pd 0.270 0.622 0.000
Pd 0.730 0.378 0.000
Pd 0.770 0.878 0.000
Pb 0.000 0.000 0.500
Pb 0.500 0.500 0.500
Au 0.000 0.500 0.500
Au 0.031 0.747 0.500
Au 0.218 0.366 0.000
Au 0.282 0.866 0.000
Au 0.469 0.247 0.500
Au 0.500 0.000 0.500
Au 0.531 0.753 0.500
Au 0.718 0.134 0.000
Au 0.782 0.634 0.000
Au 0.969 0.253 0.500
```

4.
First-principles (PBE) data for a relaxed structure of Pd7PbAu2, as listed in Alexandria. Values from VASP.

Output
DOS(E_F), states/eV/cell: 12.92
Formation enthalpy at 0 K, kJ/mol of atoms: 32

```
&SYSTEM
  ibrav = 0, nat = 10, ntyp = 3
/
ATOMIC_SPECIES
Pd 106.42 Pd.upf
Pb 207.20 Pb.upf
Au 196.97 Au.upf
CELL_PARAMETERS angstrom
3.656 -6.682 0.000
3.656 6.682 0.000
0.000 0.000 4.446
ATOMIC_POSITIONS crystal
Pd 0.000 0.000 0.000
Pd 0.214 0.424 0.000
Pd 0.304 0.696 0.500
Pd 0.424 0.214 0.000
Pd 0.576 0.786 0.000
Pd 0.696 0.304 0.500
Pd 0.786 0.576 0.000
Pb 0.500 0.500 0.500
Au 0.200 0.800 0.000
Au 0.800 0.200 0.000
```

5.
First-principles (PBE) data for a relaxed structure of PdPb3Au, as listed in Alexandria. Values from VASP.

Output
DOS(E_F), states/eV/cell: 2.63
Formation enthalpy at 0 K, kJ/mol of atoms: 19
Energy relative to the lowest polymorph listed for this composition, eV/atom: 0.320

```
&SYSTEM
  ibrav = 0, nat = 5, ntyp = 3
/
ATOMIC_SPECIES
Pd 106.42 Pd.upf
Pb 207.20 Pb.upf
Au 196.97 Au.upf
CELL_PARAMETERS angstrom
5.321 0.000 0.000
0.000 5.321 0.000
0.000 0.000 5.321
ATOMIC_POSITIONS crystal
Pd 0.000 0.000 0.000
Pb 0.000 0.000 0.500
Pb 0.000 0.500 0.000
Pb 0.500 0.000 0.000
Au 0.500 0.500 0.500
```

6.
First-principles (PBE) data for a relaxed structure of PdPb2Au, as listed in Alexandria. Values from VASP.

Output
DOS(E_F), states/eV/cell: 3.29
Formation enthalpy at 0 K, kJ/mol of atoms: -10
Energy relative to the lowest polymorph listed for this composition, eV/atom: 0.060

```
&SYSTEM
  ibrav = 0, nat = 8, ntyp = 3
/
ATOMIC_SPECIES
Pd 106.42 Pd.upf
Pb 207.20 Pb.upf
Au 196.97 Au.upf
CELL_PARAMETERS angstrom
7.682 0.000 0.000
0.000 4.705 0.000
-2.429 0.000 5.482
ATOMIC_POSITIONS crystal
Pd 0.000 0.000 0.000
Pd 0.500 0.500 0.000
Pb 0.175 0.000 0.564
Pb 0.399 0.000 0.178
Pb 0.675 0.500 0.564
Pb 0.899 0.500 0.178
Au 0.093 0.500 0.796
Au 0.593 0.000 0.796
```

7.
First-principles (PBE) data for a relaxed structure of PdPbAu2, as listed in Alexandria. Values from VASP.

Output
DOS(E_F), states/eV/cell: 6.26
Formation enthalpy at 0 K, kJ/mol of atoms: 1

```
&SYSTEM
  ibrav = 0, nat = 16, ntyp = 3
/
ATOMIC_SPECIES
Pd 106.42 Pd.upf
Pb 207.20 Pb.upf
Au 196.97 Au.upf
CELL_PARAMETERS angstrom
7.833 0.000 0.000
0.000 7.833 0.000
0.000 0.000 5.522
ATOMIC_POSITIONS crystal
Pd 0.000 0.000 0.000
Pd 0.000 0.500 0.250
Pd 0.500 0.000 0.750
Pd 0.500 0.500 0.500
Pb 0.000 0.000 0.500
Pb 0.000 0.500 0.750
Pb 0.500 0.000 0.250
Pb 0.500 0.500 0.000
Au 0.233 0.250 0.125
Au 0.250 0.733 0.375
Au 0.250 0.767 0.875
Au 0.267 0.250 0.625
Au 0.733 0.750 0.625
Au 0.750 0.233 0.875
Au 0.750 0.267 0.375
Au 0.767 0.750 0.125
```

8.
First-principles (PBE) data for a relaxed structure of Pd4Pb5Au, as listed in Alexandria. Values from VASP.

Output
DOS(E_F), states/eV/cell: 4.19
Formation enthalpy at 0 K, kJ/mol of atoms: -16

```
&SYSTEM
  ibrav = 0, nat = 10, ntyp = 3
/
ATOMIC_SPECIES
Pd 106.42 Pd.upf
Pb 207.20 Pb.upf
Au 196.97 Au.upf
CELL_PARAMETERS angstrom
7.653 -2.193 0.000
7.653 2.193 0.000
-1.073 0.000 7.062
ATOMIC_POSITIONS crystal
Pd 0.001 0.001 0.255
Pd 0.358 0.358 0.201
Pd 0.642 0.642 0.799
Pd 0.999 0.999 0.745
Pb 0.157 0.157 0.544
Pb 0.174 0.174 0.079
Pb 0.500 0.500 0.000
Pb 0.826 0.826 0.921
Pb 0.843 0.843 0.456
Au 0.500 0.500 0.500
```

9.
First-principles (PBE) data for a relaxed structure of Pd3Pb4Au2, as listed in Alexandria. Values from VASP.

Output
DOS(E_F), states/eV/cell: 4.02
Formation enthalpy at 0 K, kJ/mol of atoms: -14

```
&SYSTEM
  ibrav = 0, nat = 9, ntyp = 3
/
ATOMIC_SPECIES
Pd 106.42 Pd.upf
Pb 207.20 Pb.upf
Au 196.97 Au.upf
CELL_PARAMETERS angstrom
8.424 -1.797 0.000
8.424 1.797 0.000
-2.132 0.000 6.719
ATOMIC_POSITIONS crystal
Pd 0.000 0.000 0.000
Pd 0.082 0.082 0.669
Pd 0.918 0.918 0.331
Pb 0.259 0.259 0.259
Pb 0.441 0.441 0.665
Pb 0.559 0.559 0.335
Pb 0.741 0.741 0.741
Au 0.367 0.367 0.003
Au 0.633 0.633 0.997
```

10.
First-principles (PBE) data for a relaxed structure of Pd3Pb2Au, as listed in Alexandria. Values from VASP.

Output
DOS(E_F), states/eV/cell: 10.03
Formation enthalpy at 0 K, kJ/mol of atoms: -16
Energy relative to the lowest polymorph listed for this composition, eV/atom: 0.000

```
&SYSTEM
  ibrav = 0, nat = 24, ntyp = 3
/
ATOMIC_SPECIES
Pd 106.42 Pd.upf
Pb 207.20 Pb.upf
Au 196.97 Au.upf
CELL_PARAMETERS angstrom
2.792 -6.958 0.000
2.792 6.958 0.000
0.000 0.000 12.409
ATOMIC_POSITIONS crystal
Pd 0.029 0.971 0.894
Pd 0.125 0.875 0.454
Pd 0.138 0.362 0.750
Pd 0.362 0.138 0.250
Pd 0.375 0.625 0.954
Pd 0.471 0.529 0.394
Pd 0.529 0.471 0.606
Pd 0.625 0.375 0.046
Pd 0.638 0.862 0.750
Pd 0.862 0.638 0.250
Pd 0.875 0.125 0.546
Pd 0.971 0.029 0.106
Pb 0.055 0.945 0.660
Pb 0.182 0.818 0.057
Pb 0.318 0.682 0.557
Pb 0.445 0.555 0.160
Pb 0.555 0.445 0.840
Pb 0.682 0.318 0.443
Pb 0.818 0.182 0.943
Pb 0.945 0.055 0.340
Au 0.217 0.783 0.805
Au 0.283 0.717 0.305
Au 0.717 0.283 0.695
Au 0.783 0.217 0.195
```

11.
First-principles (PBE) data for a relaxed structure of Pd3Pb3Au, as listed in Alexandria. Values from VASP.

Output
DOS(E_F), states/eV/cell: 4.78
Formation enthalpy at 0 K, kJ/mol of atoms: -14
Energy relative to the lowest polymorph listed for this composition, eV/atom: 0.000

```
&SYSTEM
  ibrav = 0, nat = 14, ntyp = 3
/
ATOMIC_SPECIES
Pd 106.42 Pd.upf
Pb 207.20 Pb.upf
Au 196.97 Au.upf
CELL_PARAMETERS angstrom
8.406 0.000 0.000
-4.203 7.280 0.000
0.000 0.000 4.892
ATOMIC_POSITIONS crystal
Pd 0.044 0.827 0.250
Pd 0.173 0.216 0.250
Pd 0.216 0.044 0.750
Pd 0.784 0.956 0.250
Pd 0.827 0.784 0.750
Pd 0.956 0.173 0.750
Pb 0.085 0.660 0.750
Pb 0.340 0.425 0.750
Pb 0.425 0.085 0.250
Pb 0.575 0.915 0.750
Pb 0.660 0.575 0.250
Pb 0.915 0.340 0.250
Au 0.333 0.667 0.250
Au 0.667 0.333 0.750
```

12.
First-principles (PBE) data for a relaxed structure of PdPb4Au2, as listed in Alexandria. Values from VASP.

Output
DOS(E_F), states/eV/cell: 3.47
Formation enthalpy at 0 K, kJ/mol of atoms: -11

```
&SYSTEM
  ibrav = 0, nat = 7, ntyp = 3
/
ATOMIC_SPECIES
Pd 106.42 Pd.upf
Pb 207.20 Pb.upf
Au 196.97 Au.upf
CELL_PARAMETERS angstrom
2.328 1.344 9.827
-2.328 1.344 9.827
0.000 -2.688 9.827
ATOMIC_POSITIONS crystal
Pd 0.000 0.000 0.000
Pb 0.201 0.201 0.201
Pb 0.374 0.374 0.374
Pb 0.626 0.626 0.626
Pb 0.799 0.799 0.799
Au 0.094 0.094 0.094
Au 0.906 0.906 0.906
```

13.
First-principles (PBE) data for a relaxed structure of PdPbAu3, as listed in Alexandria. Values from VASP.

Output
DOS(E_F), states/eV/cell: 3.92
Formation enthalpy at 0 K, kJ/mol of atoms: 89
Energy relative to the lowest polymorph listed for this composition, eV/atom: 0.503

```
&SYSTEM
  ibrav = 0, nat = 5, ntyp = 3
/
ATOMIC_SPECIES
Pd 106.42 Pd.upf
Pb 207.20 Pb.upf
Au 196.97 Au.upf
CELL_PARAMETERS angstrom
5.261 0.000 0.000
0.000 5.261 0.000
0.000 0.000 5.261
ATOMIC_POSITIONS crystal
Pd 0.000 0.000 0.000
Pb 0.500 0.500 0.500
Au 0.000 0.500 0.500
Au 0.500 0.000 0.500
Au 0.500 0.500 0.000
```

14.
First-principles (PBE) data for a relaxed structure of Pd9PbAu2, as listed in Alexandria. Values from VASP.

Output
DOS(E_F), states/eV/cell: 14.63
Formation enthalpy at 0 K, kJ/mol of atoms: -11

```
&SYSTEM
  ibrav = 0, nat = 12, ntyp = 3
/
ATOMIC_SPECIES
Pd 106.42 Pd.upf
Pb 207.20 Pb.upf
Au 196.97 Au.upf
CELL_PARAMETERS angstrom
4.058 0.000 0.000
0.000 4.058 0.000
0.000 0.000 11.973
ATOMIC_POSITIONS crystal
Pd 0.000 0.000 0.000
Pd 0.000 0.000 0.336
Pd 0.000 0.000 0.664
Pd 0.000 0.500 0.171
Pd 0.000 0.500 0.500
Pd 0.000 0.500 0.829
Pd 0.500 0.000 0.171
Pd 0.500 0.000 0.500
Pd 0.500 0.000 0.829
Pb 0.500 0.500 0.000
Au 0.500 0.500 0.337
Au 0.500 0.500 0.663
```

15.
First-principles (PBE) data for a relaxed structure of Pd3Pb8Au2, as listed in Alexandria. Values from VASP.

Output
DOS(E_F), states/eV/cell: 6.45
Formation enthalpy at 0 K, kJ/mol of atoms: -10

```
&SYSTEM
  ibrav = 0, nat = 13, ntyp = 3
/
ATOMIC_SPECIES
Pd 106.42 Pd.upf
Pb 207.20 Pb.upf
Au 196.97 Au.upf
CELL_PARAMETERS angstrom
4.905 -7.052 0.000
4.905 7.052 0.000
0.000 0.000 4.923
ATOMIC_POSITIONS crystal
Pd 0.000 0.000 0.000
Pd 0.251 0.251 0.500
Pd 0.749 0.749 0.500
Pb 0.122 0.878 0.500
Pb 0.131 0.371 0.000
Pb 0.371 0.131 0.000
Pb 0.381 0.619 0.500
Pb 0.619 0.381 0.500
Pb 0.629 0.869 0.000
Pb 0.869 0.629 0.000
Pb 0.878 0.122 0.500
Au 0.252 0.748 0.000
Au 0.748 0.252 0.000
```

16.
First-principles (PBE) data for a relaxed structure of PdPb2Au, as listed in Alexandria. Values from VASP.

Output
DOS(E_F), states/eV/cell: 9.07
Formation enthalpy at 0 K, kJ/mol of atoms: 4
Energy relative to the lowest polymorph listed for this composition, eV/atom: 0.201

```
&SYSTEM
  ibrav = 0, nat = 16, ntyp = 3
/
ATOMIC_SPECIES
Pd 106.42 Pd.upf
Pb 207.20 Pb.upf
Au 196.97 Au.upf
CELL_PARAMETERS angstrom
7.820 0.000 0.000
0.000 7.820 0.000
0.000 0.000 6.411
ATOMIC_POSITIONS crystal
Pd 0.000 0.000 0.000
Pd 0.000 0.500 0.250
Pd 0.500 0.000 0.750
Pd 0.500 0.500 0.500
Pb 0.237 0.750 0.125
Pb 0.250 0.237 0.875
Pb 0.250 0.263 0.375
Pb 0.263 0.750 0.625
Pb 0.737 0.250 0.625
Pb 0.750 0.737 0.375
Pb 0.750 0.763 0.875
Pb 0.763 0.250 0.125
Au 0.000 0.000 0.500
Au 0.000 0.500 0.750
Au 0.500 0.000 0.250
Au 0.500 0.500 0.000
```

17.
First-principles (PBE) data for a relaxed structure of PdPbAu2, as listed in Alexandria. Values from VASP.

Output
DOS(E_F), states/eV/cell: 1.31
Formation enthalpy at 0 K, kJ/mol of atoms: -5

```
&SYSTEM
  ibrav = 0, nat = 4, ntyp = 3
/
ATOMIC_SPECIES
Pd 106.42 Pd.upf
Pb 207.20 Pb.upf
Au 196.97 Au.upf
CELL_PARAMETERS angstrom
3.697 0.000 0.000
0.000 3.697 0.000
0.000 0.000 5.839
ATOMIC_POSITIONS crystal
Pd 0.000 0.000 0.000
Pb 0.000 0.000 0.500
Au 0.500 0.500 0.234
Au 0.500 0.500 0.766
```

18.
First-principles (PBE) data for a relaxed structure of PdPb3Au2, as listed in Alexandria. Values from VASP.

Output
DOS(E_F), states/eV/cell: 9.55
Formation enthalpy at 0 K, kJ/mol of atoms: -11

```
&SYSTEM
  ibrav = 0, nat = 24, ntyp = 3
/
ATOMIC_SPECIES
Pd 106.42 Pd.upf
Pb 207.20 Pb.upf
Au 196.97 Au.upf
CELL_PARAMETERS angstrom
12.465 0.000 0.000
0.000 4.075 0.000
0.000 0.000 11.561
ATOMIC_POSITIONS crystal
Pd 0.131 0.250 0.139
Pd 0.369 0.750 0.639
Pd 0.631 0.250 0.361
Pd 0.869 0.750 0.861
Pb 0.048 0.250 0.380
Pb 0.128 0.750 0.955
Pb 0.232 0.250 0.720
Pb 0.268 0.750 0.220
Pb 0.372 0.250 0.455
Pb 0.452 0.750 0.880
Pb 0.548 0.250 0.120
Pb 0.628 0.750 0.545
Pb 0.732 0.250 0.780
Pb 0.768 0.750 0.280
Pb 0.872 0.250 0.045
Pb 0.952 0.750 0.620
Au 0.015 0.250 0.807
Au 0.177 0.750 0.508
Au 0.323 0.250 0.008
Au 0.485 0.750 0.307
Au 0.515 0.250 0.693
Au 0.677 0.750 0.992
Au 0.823 0.250 0.492
Au 0.985 0.750 0.193
```

19.
First-principles (PBE) data for a relaxed structure of PdPb2Au2, as listed in Alexandria. Values from VASP.

Output
DOS(E_F), states/eV/cell: 5.59
Formation enthalpy at 0 K, kJ/mol of atoms: -2
Energy relative to the lowest polymorph listed for this composition, eV/atom: 0.109

```
&SYSTEM
  ibrav = 0, nat = 10, ntyp = 3
/
ATOMIC_SPECIES
Pd 106.42 Pd.upf
Pb 207.20 Pb.upf
Au 196.97 Au.upf
CELL_PARAMETERS angstrom
7.379 0.000 0.000
0.000 7.379 0.000
0.000 0.000 4.217
ATOMIC_POSITIONS crystal
Pd 0.000 0.000 0.000
Pd 0.500 0.500 0.000
Pb 0.174 0.326 0.500
Pb 0.326 0.826 0.500
Pb 0.674 0.174 0.500
Pb 0.826 0.674 0.500
Au 0.136 0.636 0.000
Au 0.364 0.136 0.000
Au 0.636 0.864 0.000
Au 0.864 0.364 0.000
```

20.
First-principles (PBE) data for a relaxed structure of Pd2Pb3Au4, as listed in Alexandria. Values from VASP.

Output
DOS(E_F), states/eV/cell: 3.38
Formation enthalpy at 0 K, kJ/mol of atoms: -5

```
&SYSTEM
  ibrav = 0, nat = 9, ntyp = 3
/
ATOMIC_SPECIES
Pd 106.42 Pd.upf
Pb 207.20 Pb.upf
Au 196.97 Au.upf
CELL_PARAMETERS angstrom
5.881 -2.367 0.000
5.881 2.367 0.000
-3.305 0.000 7.204
ATOMIC_POSITIONS crystal
Pd 0.094 0.094 0.215
Pd 0.906 0.906 0.785
Pb 0.370 0.370 0.329
Pb 0.500 0.500 0.000
Pb 0.630 0.630 0.671
Au 0.172 0.172 0.915
Au 0.264 0.264 0.615
Au 0.736 0.736 0.385
Au 0.828 0.828 0.085
```

21.
First-principles (PBE) data for a relaxed structure of PdPb2Au, as listed in Alexandria. Values from VASP.

Output
DOS(E_F), states/eV/cell: 1.51
Formation enthalpy at 0 K, kJ/mol of atoms: -8
Energy relative to the lowest polymorph listed for this composition, eV/atom: 0.084

```
&SYSTEM
  ibrav = 0, nat = 4, ntyp = 3
/
ATOMIC_SPECIES
Pd 106.42 Pd.upf
Pb 207.20 Pb.upf
Au 196.97 Au.upf
CELL_PARAMETERS angstrom
5.099 0.000 0.000
0.000 5.099 0.000
0.000 0.000 3.504
ATOMIC_POSITIONS crystal
Pd 0.000 0.000 0.000
Pb 0.000 0.500 0.500
Pb 0.500 0.000 0.500
Au 0.500 0.500 0.000
```

22.
First-principles (PBE) data for a relaxed structure of Pd4PbAu, as listed in Alexandria. Values from VASP.

Output
DOS(E_F), states/eV/cell: 8.86
Formation enthalpy at 0 K, kJ/mol of atoms: -1
Energy relative to the lowest polymorph listed for this composition, eV/atom: 0.169

```
&SYSTEM
  ibrav = 0, nat = 6, ntyp = 3
/
ATOMIC_SPECIES
Pd 106.42 Pd.upf
Pb 207.20 Pb.upf
Au 196.97 Au.upf
CELL_PARAMETERS angstrom
0.000 3.796 3.796
3.796 0.000 3.796
3.796 3.796 0.000
ATOMIC_POSITIONS crystal
Pd 0.125 0.125 0.125
Pd 0.125 0.125 0.624
Pd 0.125 0.624 0.125
Pd 0.624 0.125 0.125
Pb 0.750 0.750 0.750
Au 0.500 0.500 0.500
```